(1)
K2NpUSe6 | PBE-GGA | relaxed

abc: 7.614 7.663 13.235
angles: 90.00 125.05 90.00
Positions (direct):
K  0.244  0.029  0.250
K  0.244  0.471  0.750
K  0.756  0.529  0.250
K  0.756  0.971  0.750
Np  0.500  0.000  0.000
Np  0.500  0.500  0.500
U  0.000  0.000  0.500
U  0.000  0.500  0.000
Se  0.192  0.222  0.974
Se  0.192  0.278  0.474
Se  0.252  0.718  0.974
Se  0.252  0.782  0.474
Se  0.298  0.006  0.747
Se  0.298  0.494  0.247
Se  0.702  0.506  0.753
Se  0.702  0.994  0.253
Se  0.748  0.218  0.526
Se  0.748  0.282  0.026
Se  0.808  0.722  0.526
Se  0.808  0.778  0.026

Values from the calculation:
- formation energy from raw total energies (kJ per mole of atoms) = -106.06


(2)
RbLaI2O | PBE-GGA | relaxed

abc: 6.694 6.694 4.389
angles: 90.00 90.00 90.00
Positions (direct):
Rb  0.000  0.000  0.000
La  0.500  0.500  0.500
I  0.000  0.500  0.500
I  0.500  0.000  0.500
O  0.500  0.500  0.000

Values from the calculation:
- formation energy from raw total energies (kJ per mole of atoms) = -192.03
- relative energy among the computed polymorphs (kJ/mol of atoms) = 0.00


(3)
Li3LaGe3 | PBE-GGA | relaxed

abc: 6.705 6.705 6.705
angles: 90.00 90.00 90.00
Positions (direct):
Li  0.000  0.250  0.500
Li  0.000  0.750  0.500
Li  0.250  0.500  0.000
Li  0.500  0.000  0.250
Li  0.500  0.000  0.750
Li  0.750  0.500  0.000
La  0.000  0.000  0.000
La  0.500  0.500  0.500
Ge  0.000  0.500  0.250
Ge  0.000  0.500  0.750
Ge  0.250  0.000  0.500
Ge  0.500  0.250  0.000
Ge  0.500  0.750  0.000
Ge  0.750  0.000  0.500

Values from the calculation:
- ΔH_f (0 K) (eV/atom) = 0.052


(4)
HoPaRePd | PBE-GGA | relaxed

abc: 4.901 4.901 4.901
angles: 60.00 60.00 60.00
Positions (direct):
Ho  0.000  0.000  0.000
Pa  0.500  0.500  0.500
Re  0.250  0.250  0.250
Pd  0.750  0.750  0.750

Values from the calculation:
- ΔH_f (0 K) (eV/atom) = -0.270


(5)
LiNd5In4 | PBE-GGA | relaxed

abc: 3.732 3.732 20.671
angles: 90.00 90.00 90.00
Positions (direct):
Li  0.000  0.000  0.000
Nd  0.500  0.500  0.097
Nd  0.500  0.500  0.297
Nd  0.500  0.500  0.500
Nd  0.500  0.500  0.703
Nd  0.500  0.500  0.903
In  0.000  0.000  0.193
In  0.000  0.000  0.398
In  0.000  0.000  0.602
In  0.000  0.000  0.807

Values from the calculation:
- ΔH_f (0 K) (eV/atom) = -0.388


(6)
AcBi2Pd | PBE-GGA | relaxed

abc: 3.692 3.692 8.408
angles: 90.00 90.00 90.00
Positions (direct):
Ac  0.000  0.000  0.000
Bi  0.500  0.500  0.303
Bi  0.500  0.500  0.697
Pd  0.000  0.000  0.500

Values from the calculation:
- ΔH_f (0 K) (eV/atom) = -0.300
- relative energy among the computed polymorphs (kJ/mol of atoms) = 37.54


(7)
HfBRh3 | PBE-GGA | relaxed

abc: 5.158 5.158 5.756
angles: 90.00 90.00 113.45
Positions (direct):
Hf  0.240  0.760  0.750
Hf  0.760  0.240  0.250
B  0.465  0.535  0.250
B  0.535  0.465  0.750
Rh  0.232  0.768  0.250
Rh  0.242  0.242  0.000
Rh  0.242  0.242  0.500
Rh  0.758  0.758  0.000
Rh  0.758  0.758  0.500
Rh  0.768  0.232  0.750

Values from the calculation:
- ΔH_f (0 K) (eV/atom) = -0.708
- relative energy among the computed polymorphs (kJ/mol of atoms) = 7.38


(8)
Ce4Pr2Bi3N2 | PBE-GGA | relaxed

abc: 13.950 13.950 13.950
angles: 160.42 160.42 27.83
Positions (direct):
Ce  0.086  0.586  0.500
Ce  0.414  0.914  0.500
Ce  0.586  0.086  0.500
Ce  0.914  0.414  0.500
Pr  0.195  0.195  0.000
Pr  0.805  0.805  0.000
Bi  0.321  0.321  0.000
Bi  0.500  0.500  0.000
Bi  0.679  0.679  0.000
N  0.103  0.103  0.000
N  0.897  0.897  0.000

Values from the calculation:
- formation energy from raw total energies (kJ per mole of atoms) = -94.94